Ba3VGe2O8: relaxed, GGA+U.

Cell lengths 5.834, 5.834, 7.519 Å; angles 90.00, 90.00, 120.00 degrees
Each line ends with the local moment (μB).
Atoms (fractional coordinates):
Ba 0.000 0.000 0.000  0.00
O 0.340 0.170 0.684  0.01
V 0.000 0.000 0.500  2.69
O 0.333 0.667 0.993  0.00
O 0.830 0.660 0.684  0.01
O 0.830 0.170 0.684  0.01
O 0.667 0.333 0.007  0.00
O 0.170 0.830 0.316  0.01
Ge 0.333 0.667 0.223  0.00
Ba 0.333 0.667 0.660  0.01
O 0.660 0.830 0.316  0.01
Ge 0.667 0.333 0.777  0.00
Ba 0.667 0.333 0.340  0.01
O 0.170 0.340 0.316  0.01

Summary:
Electronic total energy, eV per atom: -6.707
Volume, Å³/cell: 221.6